The following is a PBE-GGA calculation of a relaxed Cr2OsSe crystal, from Alexandria.

Unit cell a=4.5832 b=4.5832 c=4.5832 alpha=129.52 beta=129.52 gamma=74.18
Last column: nearest neighbours and their distance in Å.
Fractional coordinates of all 4 atoms:
1 Se 0.7500 0.2500 0.5000  8 Cr 2.68, 4 Os 2.76
2 Cr 0.5000 0.5000 0.0000  4 Os 2.68, 4 Se 2.68, 4 Cr 2.76
3 Os 0.2500 0.7500 0.5000  8 Cr 2.68, 4 Se 2.76
4 Cr 0.0000 0.0000 0.0000  4 Se 2.68, 4 Os 2.68, 4 Cr 2.76

Computed properties:
- E (eV per atom) = -7.9791
- SG = I4/mmm (139)
- N(E_F) (states/eV per cell) = 4.3
- formation energy without anion corrections (eV/atom) = 0.51